[1]
CaMn2InBr8 (PBE, optimized geometry); total moment = 9.00 μB/cell; density of states at the Fermi level = 12.6 states/eV per cell; total DFT energy (no corrections) = -3.998 eV/atom; formation energy without anion corrections = -0.959 eV/atom; space-group type = No. 147
1.0
-0.3293 3.9980 5.7492
-5.7606 -1.0962 -3.8418
-2.0755 -7.8795 5.3605
Ca Mn In Br
1 2 1 8
direct
0.0000 0.0000 0.5000
0.6667 0.3333 0.2499
0.3333 0.6667 0.7501
0.0000 0.0000 0.0000
0.3333 0.6667 0.9938
0.3250 0.3280 0.3150
0.6720 0.9970 0.3150
0.6667 0.3333 0.0062
0.3280 0.0030 0.6850
0.6750 0.6720 0.6850
0.9970 0.3250 0.6850
0.0030 0.6750 0.3150

[2]
Th4ZnC (PBE, optimized geometry); total moment = 0.00 μB/cell; density of states at the Fermi level = 13.4 states/eV per cell; total DFT energy (no corrections) = -6.763 eV/atom; ΔH_f (0 K) = -0.4 eV/f.u.; space-group type = No. 15
1.0
-3.4755 -1.5085 -5.0092
3.1762 -6.2713 2.1252
-5.4941 2.5003 5.7762
Th Zn C
8 2 2
direct
0.2891 0.9385 0.5975
0.0380 0.8242 0.1030
0.1916 0.3410 0.4025
0.4349 0.7212 0.8970
0.7109 0.0615 0.4025
0.8084 0.6590 0.5975
0.9620 0.1758 0.8970
0.5651 0.2788 0.1030
0.3672 0.6172 0.2345
0.6328 0.3828 0.7655
0.8136 0.0636 0.1273
0.1864 0.9364 0.8727

[3]
ScCo5P3 (PBE, optimized geometry); total moment = 0.00 μB/cell; density of states at the Fermi level = 14.7 states/eV per cell; total DFT energy (no corrections) = -7.144 eV/atom; ΔH_f (0 K) = -6.2 eV/f.u.; space-group type = No. 63
1.0
3.5203 0.0000 0.0000
-1.7601 5.6926 0.0000
0.0000 0.0000 11.2047
Sc Co P
2 10 6
direct
0.8638 0.7277 0.7500
0.1362 0.2723 0.2500
0.8000 0.6000 0.4273
0.2000 0.4000 0.9273
0.0000 0.0000 0.5000
0.0000 0.0000 0.0000
0.4493 0.8986 0.1435
0.5507 0.1014 0.8565
0.5507 0.1014 0.6435
0.8000 0.6000 0.0727
0.2000 0.4000 0.5727
0.4493 0.8986 0.3565
0.3822 0.7645 0.9571
0.8854 0.7708 0.2500
0.3822 0.7645 0.5429
0.6178 0.2355 0.4571
0.1146 0.2292 0.7500
0.6178 0.2355 0.0429

[4]
BSbPRh2 (PBE, optimized geometry); total moment = 0.00 μB/cell; density of states at the Fermi level = 4.9 states/eV per cell; total DFT energy (no corrections) = -5.091 eV/atom; formation energy without anion corrections = 1.091 eV/atom; space-group type = No. 123
1.0
4.3196 0.0000 0.0000
0.0000 5.3369 0.0000
0.0000 0.0000 4.3196
Sb B Rh P
1 1 2 1
direct
0.0000 0.5000 0.0000
0.5000 0.5000 0.5000
0.0000 0.0000 0.5000
0.5000 0.0000 0.0000
0.0000 0.0000 0.0000

- Which formula does entry 2 have?
  Th4ZnC